Hf2SnPt: relaxed, GGA-PBE.

Unit cell a=4.8466 b=4.8466 c=4.8466 alpha=60.00 beta=60.00 gamma=60.00
Site moments in Bohr magnetons follow the coordinates.
Element x y z (fractional)
Hf: 0.0000 0.0000 0.0000  0.59
Hf: 0.7500 0.7500 0.7500  0.81
Sn: 0.5000 0.5000 0.5000  0.00
Pt: 0.2500 0.2500 0.2500  0.07

Computed properties:
Magnetic moment in Bohr magnetons per cell: 1.94
Uncorrected energy in eV per atom: -7.635
SG: F-43m


DyTlHg: relaxed, GGA-PBE.

Unit cell a=5.0483 b=5.0483 c=5.0483 alpha=60.00 beta=60.00 gamma=60.00
Element x y z (fractional)
Tl: 0.7500 0.7500 0.7500
Dy: 0.0000 0.0000 0.0000
Hg: 0.2500 0.2500 0.2500

Computed properties:
Magnetic moment in Bohr magnetons per cell: 0.01
Uncorrected energy in eV per atom: -2.466
SG: F-43m